The following is a DFT calculation (PBE) of SrGe3Pd9 after structural relaxation.

Cell: 7.139 7.139 6.559 Å, 97.01 97.01 136.10°
Sites, in units of the cell vectors:
Sr: 0.000 0.000 0.000
Ge: 0.000 0.500 0.000
Ge: 0.500 0.000 0.000
Ge: 0.500 0.500 0.500
Pd: 0.000 0.000 0.500
Pd: 0.053 0.690 0.671
Pd: 0.303 0.527 0.773
Pd: 0.310 0.947 0.329
Pd: 0.473 0.697 0.227
Pd: 0.527 0.303 0.773
Pd: 0.690 0.053 0.671
Pd: 0.697 0.473 0.227
Pd: 0.947 0.310 0.329

Summary:
Uncorrected energy (eV per formula unit): -68.23
Space group: C2/m
Energy relative to the elements (kJ per mole of atoms): -44.3